Below is a geometry-optimized CrP2Se structure, with properties calculated at the PBE level.

Structure (CIF):
```
data_CrP2Se
_cell_length_a 2.9941
_cell_length_b 2.9941
_cell_length_c 7.2780
_cell_angle_alpha 90.00
_cell_angle_beta 90.00
_cell_angle_gamma 90.00
_space_group_name_H-M_alt 'P 4 m m'
_space_group_IT_number 99
loop_
_space_group_symop_operation_xyz
'x,y,z'
'-y,x,z'
'-x,-y,z'
'y,-x,z'
'-x,y,z'
'y,x,z'
'x,-y,z'
'-y,-x,z'
loop_
_atom_site_label
_atom_site_fract_x
_atom_site_fract_y
_atom_site_fract_z
Cr1 0.0000 0.0000 0.0000
P1 0.0000 0.0000 0.3406
P2 0.5000 0.5000 0.1826
Se1 0.5000 0.5000 0.7954
```

Mass density ... 4.91 Mg/m³
E_tot ... -5.97 eV/atom
ΔE_f (raw) ... 0.015 eV per atom

***

Below is a geometry-optimized Ce2GaRu3 structure, with properties calculated at the PBE level.

Structure (CIF):
```
data_Ce2GaRu3
_cell_length_a 5.6937
_cell_length_b 5.6937
_cell_length_c 11.6902
_cell_angle_alpha 90.00
_cell_angle_beta 90.00
_cell_angle_gamma 120.00
_space_group_name_H-M_alt 'R -3 m'
_space_group_IT_number 166
_space_group_name_Hall '-R 3 2"'
loop_
_atom_site_label
_atom_site_fract_x
_atom_site_fract_y
_atom_site_fract_z
Ce1 0.0000 0.0000 0.1369
Ga1 0.0000 0.0000 0.5000
Ru1 0.0000 0.5000 0.0000
```

Mass density ... 9.91 Mg/m³
E_tot ... -7.58 eV/atom

***

Below is a geometry-optimized BeTl3As structure, with properties calculated at the PBE level.

Structure (CIF):
```
data_BeTl3As
_cell_length_a 5.0271
_cell_length_b 5.0271
_cell_length_c 5.0271
_cell_angle_alpha 90.00
_cell_angle_beta 90.00
_cell_angle_gamma 90.00
_space_group_name_H-M_alt 'P m -3 m'
_space_group_IT_number 221
_space_group_name_Hall '-P 4 2 3'
loop_
_atom_site_label
_atom_site_fract_x
_atom_site_fract_y
_atom_site_fract_z
Be1 0.0000 0.0000 0.0000
Tl1 0.0000 0.0000 0.5000
As1 0.5000 0.5000 0.5000
```

Mass density ... 9.11 Mg/m³
E_tot ... -2.67 eV/atom

***

Below is a geometry-optimized Pa3AsOs structure, with properties calculated at the PBE level.

Structure (CIF):
```
data_Pa3AsOs
_cell_length_a 8.0084
_cell_length_b 3.6479
_cell_length_c 8.2308
_cell_angle_alpha 90.00
_cell_angle_beta 107.25
_cell_angle_gamma 90.00
_space_group_name_H-M_alt 'P 1 21/m 1'
_space_group_IT_number 11
loop_
_space_group_symop_operation_xyz
'x,y,z'
'-x,-y,-z'
'-x,y+1/2,-z'
'x,-y+1/2,z'
loop_
_atom_site_label
_atom_site_fract_x
_atom_site_fract_y
_atom_site_fract_z
Pa1 0.0452 0.2500 0.2072
Pa2 0.3263 0.2500 0.9348
Pa3 0.4255 0.7500 0.6206
As1 0.1313 0.2500 0.5879
Os1 0.3038 0.7500 0.1937
```

Mass density ... 13.86 Mg/m³
E_tot ... -9.23 eV/atom